Density functional theory data (PBE) for GdBiRh after structural relaxation.

abc: 3.4673 3.4673 11.7896
angles: 90.00 90.00 90.00
Space group I4mm (No. 107)
One atom of each set of equivalent atoms:
Gd1 0.0000 0.0000 0.0000
Bi1 0.0000 0.0000 0.2870
Rh1 0.0000 0.0000 0.6374

Summary:
- formation enthalpy at 0 K (eV per atom) = -0.455

***

Density functional theory data (PBE) for YTl2Ni after structural relaxation.

abc: 3.4468 3.4468 8.0838
angles: 90.00 90.00 90.00
Space group P4mm (No. 99)
One atom of each set of equivalent atoms:
Y1 0.0000 0.0000 0.0000
Tl1 0.0000 0.0000 0.3947
Tl2 0.5000 0.5000 0.6982
Ni1 0.5000 0.5000 0.1809

Summary:
- formation enthalpy at 0 K (eV per atom) = -0.064

***

Density functional theory data (PBE) for TlZnRuCl2 after structural relaxation.

abc: 4.8829 4.8829 5.2631
angles: 90.00 90.00 90.00
Space group P4/mmm (No. 123)
One atom of each set of equivalent atoms:
Tl1 0.0000 0.0000 0.0000
Zn1 0.5000 0.5000 0.5000
Ru1 0.5000 0.5000 0.0000
Cl1 0.0000 0.5000 0.5000

Summary:
- formation energy without anion corrections (eV per atom) = 0.3579

***

Asked for volume across the records above, the calculation gives 23.62, 24.01, 25.10 A^3/atom in order.